# 1
TiMnRuO6: optimized geometry, GGA+U.

Output
* space group: P-31c, No. 163
* DOS at the Fermi energy: 10.371 states/eV per cell
* electronic total energy: -0.285 hartree per atom

Cell lengths 5.0410, 5.0410, 9.0756 Å; angles 90.00, 90.00, 120.00 degrees
Sites, in units of the cell vectors:
Ti 0.3333 0.6667 0.2500
Ti 0.6667 0.3333 0.7500
Mn 0.0000 0.0000 0.0000
Mn 0.0000 0.0000 0.5000
Ru 0.3333 0.6667 0.7500
Ru 0.6667 0.3333 0.2500
O 0.0024 0.3492 0.6323
O 0.0024 0.6532 0.8677
O 0.3468 0.3492 0.8677
O 0.3468 0.9976 0.6323
O 0.3492 0.0024 0.1323
O 0.3492 0.3468 0.3677
O 0.6508 0.6532 0.6323
O 0.6508 0.9976 0.8677
O 0.6532 0.0024 0.3677
O 0.6532 0.6508 0.1323
O 0.9976 0.3468 0.1323
O 0.9976 0.6508 0.3677

# 2
MnTlRu2O8: optimized geometry, GGA+U.

Output
* space group: C2/m, No. 12
* DOS at the Fermi energy: 7.115 states/eV per cell
* electronic total energy: -0.242 hartree per atom

Cell lengths 5.3946, 5.3946, 8.0649 Å; angles 93.39, 93.39, 66.69 degrees
Sites, in units of the cell vectors:
Mn 0.0000 0.0000 0.0000
Tl 0.0000 0.0000 0.5000
Ru 0.3731 0.3731 0.2129
Ru 0.6269 0.6269 0.7871
O 0.2288 0.2288 0.0507
O 0.2290 0.7313 0.1907
O 0.2687 0.7710 0.8093
O 0.3036 0.3036 0.4106
O 0.6964 0.6964 0.5894
O 0.7313 0.2290 0.1907
O 0.7710 0.2687 0.8093
O 0.7712 0.7712 0.9493

# 3
Mn2Tl2RuO6: optimized geometry, GGA+U.

Output
* space group: C2/m, No. 12
* DOS at the Fermi energy: 1.457 states/eV per cell
* electronic total energy: -0.236 hartree per atom

Cell lengths 5.4836, 5.4836, 6.6650 Å; angles 96.49, 96.49, 122.54 degrees
Sites, in units of the cell vectors:
Mn 0.1635 0.8365 0.0000
Mn 0.8365 0.1635 0.0000
Tl 0.3367 0.6633 0.5000
Tl 0.6633 0.3367 0.5000
Ru 0.5000 0.5000 0.0000
O 0.1201 0.4432 0.8453
O 0.2351 0.2351 0.1671
O 0.4432 0.1201 0.8453
O 0.5568 0.8799 0.1547
O 0.7649 0.7649 0.8329
O 0.8799 0.5568 0.1547

# 4
UMn2RuO8: optimized geometry, GGA+U.

Output
* space group: C2/m, No. 12
* DOS at the Fermi energy: 3.025 states/eV per cell
* electronic total energy: -0.300 hartree per atom

Cell lengths 4.7309, 4.7309, 6.3637 Å; angles 91.83, 91.83, 90.80 degrees
Sites, in units of the cell vectors:
U 0.0000 0.0000 0.0000
Mn 0.4965 0.4965 0.7354
Mn 0.5035 0.5035 0.2646
Ru 0.0000 0.0000 0.5000
O 0.1991 0.8003 0.7401
O 0.1997 0.8009 0.2599
O 0.2927 0.2927 0.5094
O 0.3057 0.3057 0.0134
O 0.6943 0.6943 0.9866
O 0.7073 0.7073 0.4906
O 0.8003 0.1991 0.7401
O 0.8009 0.1997 0.2599

# 5
MnRuWO6: optimized geometry, GGA+U.

Output
* space group: P4_2nm, No. 102
* DOS at the Fermi energy: 7.050 states/eV per cell
* electronic total energy: -0.276 hartree per atom

Cell lengths 4.7489, 4.7489, 9.2991 Å; angles 90.00, 90.00, 90.00 degrees
Sites, in units of the cell vectors:
Mn 0.0000 0.0000 0.0000
Mn 0.5000 0.5000 0.5000
Ru 0.0000 0.0000 0.3290
Ru 0.5000 0.5000 0.8290
W 0.0000 0.0000 0.6663
W 0.5000 0.5000 0.1663
O 0.1849 0.1849 0.5015
O 0.2047 0.2047 0.8140
O 0.2082 0.2082 0.1728
O 0.2918 0.7082 0.6728
O 0.2953 0.7047 0.3140
O 0.3151 0.6849 0.0015
O 0.6849 0.3151 0.0015
O 0.7047 0.2953 0.3140
O 0.7082 0.2918 0.6728
O 0.7918 0.7918 0.1728
O 0.7953 0.7953 0.8140
O 0.8151 0.8151 0.5015

# 6
MnZnRuO2: optimized geometry, GGA+U.

Output
* space group: P4/mmm, No. 123
* DOS at the Fermi energy: 2.158 states/eV per cell
* electronic total energy: -0.182 hartree per atom

Cell lengths 3.8549, 3.8549, 4.9186 Å; angles 90.00, 90.00, 90.00 degrees
Sites, in units of the cell vectors:
Mn 0.0000 0.0000 0.0000
Zn 0.0000 0.0000 0.5000
Ru 0.5000 0.5000 0.0000
O 0.0000 0.5000 0.5000
O 0.5000 0.0000 0.5000

# 7
MnZnRuO6: optimized geometry, GGA+U.

Output
* space group: P4_2nm, No. 102
* DOS at the Fermi energy: 10.155 states/eV per cell
* electronic total energy: -0.233 hartree per atom

Cell lengths 4.5789, 4.5789, 9.1056 Å; angles 90.00, 90.00, 90.00 degrees
Sites, in units of the cell vectors:
Mn 0.0000 0.0000 0.0000
Mn 0.5000 0.5000 0.5000
Zn 0.0000 0.0000 0.3330
Zn 0.5000 0.5000 0.8330
Ru 0.0000 0.0000 0.6662
Ru 0.5000 0.5000 0.1662
O 0.1867 0.1867 0.8341
O 0.2035 0.2035 0.5078
O 0.2055 0.2055 0.1584
O 0.2945 0.7055 0.6584
O 0.2965 0.7035 0.0078
O 0.3133 0.6867 0.3341
O 0.6867 0.3133 0.3341
O 0.7035 0.2965 0.0078
O 0.7055 0.2945 0.6584
O 0.7945 0.7945 0.1584
O 0.7965 0.7965 0.5078
O 0.8133 0.8133 0.8341

# 8
MnZnRu2O: optimized geometry, GGA+U.

Output
* space group: P4/mmm, No. 123
* DOS at the Fermi energy: 4.269 states/eV per cell
* electronic total energy: -0.235 hartree per atom

Cell lengths 4.1001, 4.1001, 4.0497 Å; angles 90.00, 90.00, 90.00 degrees
Sites, in units of the cell vectors:
Mn 0.0000 0.0000 0.0000
Zn 0.5000 0.5000 0.0000
Ru 0.0000 0.5000 0.5000
Ru 0.5000 0.0000 0.5000
O 0.0000 0.0000 0.5000

# 9
Mn2S3O12: optimized geometry, GGA+U.

Output
* energy above the most stable polymorph in this dataset: 0.184 eV/f.u.
* space group: R-3, No. 148
* electronic total energy: -0.238 hartree per atom

Cell lengths 9.1421, 9.1421, 9.1421 Å; angles 53.84, 53.84, 53.84 degrees
Sites, in units of the cell vectors:
Mn 0.1436 0.1436 0.1436
Mn 0.3417 0.3417 0.3417
Mn 0.6583 0.6583 0.6583
Mn 0.8564 0.8564 0.8564
S 0.0488 0.4602 0.7317
S 0.2683 0.9512 0.5398
S 0.4602 0.7317 0.0488
S 0.5398 0.2683 0.9512
S 0.7317 0.0488 0.4602
S 0.9512 0.5398 0.2683
O 0.0303 0.6136 0.7584
O 0.1322 0.2636 0.8594
O 0.1406 0.8678 0.7364
O 0.1530 0.5223 0.2156
O 0.1685 0.4879 0.5203
O 0.2156 0.1530 0.5223
O 0.2416 0.9697 0.3864
O 0.2636 0.8594 0.1322
O 0.3864 0.2416 0.9697
O 0.4777 0.7844 0.8470
O 0.4797 0.8315 0.5121
O 0.4879 0.5203 0.1685
O 0.5121 0.4797 0.8315
O 0.5203 0.1685 0.4879
O 0.5223 0.2156 0.1530
O 0.6136 0.7584 0.0303
O 0.7364 0.1406 0.8678
O 0.7584 0.0303 0.6136
O 0.7844 0.8470 0.4777
O 0.8315 0.5121 0.4797
O 0.8470 0.4777 0.7844
O 0.8594 0.1322 0.2636
O 0.8678 0.7364 0.1406
O 0.9697 0.3864 0.2416

# 10
MnS3O: optimized geometry, GGA+U.

Output
* energy above the most stable polymorph in this dataset: 0.000 eV/f.u.
* space group: Pm-3m, No. 221
* DOS at the Fermi energy: 2.091 states/eV per cell
* electronic total energy: -0.163 hartree per atom

Cell lengths 4.2614, 4.2614, 4.2614 Å; angles 90.00, 90.00, 90.00 degrees
Sites, in units of the cell vectors:
Mn 0.0000 0.0000 0.0000
S 0.0000 0.5000 0.5000
S 0.5000 0.0000 0.5000
S 0.5000 0.5000 0.0000
O 0.5000 0.5000 0.5000

# 11
Mn2S2O: optimized geometry, GGA+U.

Output
* energy above the most stable polymorph in this dataset: 0.000 eV/f.u.
* space group: P4/mbm, No. 127
* DOS at the Fermi energy: 2.660 states/eV per cell
* electronic total energy: -0.225 hartree per atom

Cell lengths 6.0227, 6.0227, 4.6630 Å; angles 90.00, 90.00, 90.00 degrees
Sites, in units of the cell vectors:
Mn 0.2416 0.2584 0.0000
Mn 0.2584 0.7584 0.0000
Mn 0.7416 0.2416 0.0000
Mn 0.7584 0.7416 0.0000
S 0.1222 0.6222 0.5000
S 0.3778 0.1222 0.5000
S 0.6222 0.8778 0.5000
S 0.8778 0.3778 0.5000
O 0.0000 0.0000 0.0000
O 0.5000 0.5000 0.0000

# 12
Mn2S2O: optimized geometry, GGA+U.

Output
* energy above the most stable polymorph in this dataset: 2.611 eV/f.u.
* space group: I4/mmm, No. 139
* DOS at the Fermi energy: 1.297 states/eV per cell
* electronic total energy: -0.205 hartree per atom

Cell lengths 7.1468, 7.1468, 7.1468 Å; angles 151.52, 151.52, 40.72 degrees
Sites, in units of the cell vectors:
Mn 0.1001 0.1001 0.0000
Mn 0.8999 0.8999 0.0000
S 0.2500 0.7500 0.5000
S 0.7500 0.2500 0.5000
O 0.5000 0.5000 0.0000

# 13
Mn3SO6: optimized geometry, GGA+U.

Output
* space group: Cmc2_1, No. 36
* electronic total energy: -0.257 hartree per atom

Cell lengths 6.5646, 6.5646, 5.6292 Å; angles 90.00, 90.00, 99.85 degrees
Sites, in units of the cell vectors:
Mn 0.0552 0.9448 0.5000
Mn 0.1872 0.4187 0.5290
Mn 0.4187 0.1872 0.0290
Mn 0.5813 0.8128 0.5290
Mn 0.8128 0.5813 0.0290
Mn 0.9448 0.0552 0.0000
S 0.3147 0.6853 0.0412
S 0.6853 0.3147 0.5412
O 0.1368 0.5661 0.8960
O 0.1520 0.1588 0.2514
O 0.1588 0.1520 0.7514
O 0.2655 0.7345 0.4466
O 0.4339 0.8632 0.8960
O 0.4655 0.5345 0.0817
O 0.5345 0.4655 0.5817
O 0.5661 0.1368 0.3960
O 0.7345 0.2655 0.9466
O 0.8412 0.8480 0.2514
O 0.8480 0.8412 0.7514
O 0.8632 0.4339 0.3960

# 14
MnS3O9: optimized geometry, GGA+U.

Output
* space group: Cc, No. 9
* DOS at the Fermi energy: 0.000 states/eV per cell
* electronic total energy: -0.230 hartree per atom

Cell lengths 8.2810, 8.2810, 9.8943 Å; angles 125.40, 125.40, 54.24 degrees
Sites, in units of the cell vectors:
Mn 0.2246 0.7754 0.5000
Mn 0.7754 0.2246 0.0000
S 0.2452 0.2807 0.8021
S 0.2807 0.2452 0.3021
S 0.5953 0.6795 0.3567
S 0.6795 0.5953 0.8567
S 0.7406 0.9832 0.1746
S 0.9832 0.7406 0.6746
O 0.0260 0.8144 0.5997
O 0.1345 0.1347 0.1508
O 0.1347 0.1345 0.6508
O 0.1703 0.5779 0.7473
O 0.1953 0.4635 0.3151
O 0.4465 0.7009 0.4067
O 0.4635 0.1953 0.8151
O 0.4934 0.6207 0.6946
O 0.5685 0.8744 0.3686
O 0.5779 0.1703 0.2473
O 0.5957 0.8368 0.0076
O 0.6207 0.4934 0.1946
O 0.7009 0.4465 0.9067
O 0.8144 0.0260 0.0997
O 0.8368 0.5957 0.5076
O 0.8594 0.9179 0.7870
O 0.8744 0.5685 0.8686
O 0.9179 0.8594 0.2870

# 15
MnS2O8: optimized geometry, GGA+U.

Output
* energy above the most stable polymorph in this dataset: 0.372 eV/f.u.
* space group: P-3m1, No. 164
* DOS at the Fermi energy: 5.565 states/eV per cell
* electronic total energy: -0.228 hartree per atom

Cell lengths 5.2763, 5.2763, 6.6700 Å; angles 90.00, 90.00, 120.00 degrees
Sites, in units of the cell vectors:
Mn 0.0000 0.0000 0.0000
S 0.3333 0.6667 0.7461
S 0.6667 0.3333 0.2539
O 0.1783 0.3567 0.8121
O 0.1783 0.8217 0.8121
O 0.3333 0.6667 0.5255
O 0.3567 0.1783 0.1879
O 0.6433 0.8217 0.8121
O 0.6667 0.3333 0.4745
O 0.8217 0.1783 0.1879
O 0.8217 0.6433 0.1879

# 16
Mn3SO: optimized geometry, GGA+U.

Output
* energy above the most stable polymorph in this dataset: 0.000 eV/f.u.
* space group: P6_322, No. 182
* DOS at the Fermi energy: 3.191 states/eV per cell
* electronic total energy: -0.250 hartree per atom

Cell lengths 5.8252, 5.8252, 5.5816 Å; angles 90.00, 90.00, 120.00 degrees
Sites, in units of the cell vectors:
Mn 0.0000 0.3015 0.0000
Mn 0.0000 0.6985 0.5000
Mn 0.3015 0.0000 0.0000
Mn 0.3015 0.3015 0.5000
Mn 0.6985 0.0000 0.5000
Mn 0.6985 0.6985 0.0000
S 0.3333 0.6667 0.7500
S 0.6667 0.3333 0.2500
O 0.0000 0.0000 0.2500
O 0.0000 0.0000 0.7500

# 17
MnS2O8: optimized geometry, GGA+U.

Output
* energy above the most stable polymorph in this dataset: 0.000 eV/f.u.
* space group: R3, No. 146
* DOS at the Fermi energy: 6.445 states/eV per cell
* electronic total energy: -0.229 hartree per atom

Cell lengths 8.9428, 8.9428, 8.9428 Å; angles 54.62, 54.62, 54.62 degrees
Sites, in units of the cell vectors:
Mn 0.0000 0.0000 0.0000
Mn 0.1964 0.1964 0.1964
Mn 0.5062 0.5062 0.5062
S 0.1116 0.3999 0.8010
S 0.3126 0.8932 0.5997
S 0.3999 0.8010 0.1116
S 0.5997 0.3126 0.8932
S 0.8010 0.1116 0.3999
S 0.8932 0.5997 0.3126
O 0.0036 0.0673 0.3769
O 0.0262 0.3893 0.3322
O 0.0630 0.2504 0.8257
O 0.0673 0.3769 0.0036
O 0.1089 0.9779 0.7316
O 0.2504 0.8257 0.0630
O 0.3214 0.6974 0.6403
O 0.3305 0.3480 0.6839
O 0.3322 0.0262 0.3893
O 0.3480 0.6839 0.3305
O 0.3769 0.0036 0.0673
O 0.3893 0.3322 0.0262
O 0.4647 0.8689 0.6345
O 0.5981 0.7096 0.9960
O 0.6345 0.4647 0.8689
O 0.6403 0.3214 0.6974
O 0.6839 0.3305 0.3480
O 0.6974 0.6403 0.3214
O 0.7096 0.9960 0.5981
O 0.7316 0.1089 0.9779
O 0.8257 0.0630 0.2504
O 0.8689 0.6345 0.4647
O 0.9779 0.7316 0.1089
O 0.9960 0.5981 0.7096

# 18
MnS2O8: optimized geometry, GGA+U.

Output
* energy above the most stable polymorph in this dataset: 0.018 eV/f.u.
* space group: C2/m, No. 12
* electronic total energy: -0.229 hartree per atom

Cell lengths 6.1672, 6.1672, 4.5859 Å; angles 94.64, 94.64, 88.00 degrees
Sites, in units of the cell vectors:
Mn 0.0000 0.0000 0.0000
S 0.2063 0.2063 0.6389
S 0.7937 0.7937 0.3611
O 0.0142 0.7430 0.2325
O 0.1752 0.1752 0.3093
O 0.2570 0.9858 0.7675
O 0.3668 0.3668 0.7155
O 0.6332 0.6332 0.2845
O 0.7430 0.0142 0.2325
O 0.8248 0.8248 0.6907
O 0.9858 0.2570 0.7675

In order of appearance, magnetization = 5.531; 1.982; 5.999; 6.103; 5.992; 7.395; 4.301; 4.398; 4.013; 4.808; 19.377; 9.992; 25.992; 9.879; 2.975; 26.451; 8.938; 2.933 μB per cell.